Entry 1:
Rb2TlPtAu after structural relaxation. Source: Alexandria, functional PBE.

Computed properties:
E above lowest polymorph: 0 meV per atom
Total moment: 0.000 μB/atom
N(E_F): 0.74 states/eV per cell
Electronic total energy: -2.764 eV per atom
Formation energy: -0.040 eV/atom

Geometry as CIF:
```
data_Rb2TlPtAu
_cell_length_a 6.378
_cell_length_b 6.378
_cell_length_c 5.265
_cell_angle_alpha 90.00
_cell_angle_beta 90.00
_cell_angle_gamma 90.00
_symmetry_space_group_name_H-M 'P 4/m m m'
_symmetry_Int_Tables_number 123
_symmetry_space_group_name_Hall '-P 4 2'
loop_
_atom_site_label
_atom_site_type_symbol
_atom_site_fract_x
_atom_site_fract_y
_atom_site_fract_z
Rb1 Rb 0.000 0.500 0.000
Tl1 Tl 0.000 0.000 0.500
Pt1 Pt 0.000 0.000 0.000
Au1 Au 0.500 0.500 0.500
```

---

Entry 2:
Rb2TlPtAu after structural relaxation. Source: Alexandria, functional PBE.

Computed properties:
E above lowest polymorph: 235 meV per atom
Total moment: 0.000 μB/atom
N(E_F): 4.44 states/eV per cell
Electronic total energy: -2.529 eV per atom
Formation energy: 0.195 eV/atom

Geometry as CIF:
```
data_Rb2TlPtAu
_cell_length_a 6.260
_cell_length_b 6.260
_cell_length_c 5.234
_cell_angle_alpha 90.00
_cell_angle_beta 90.00
_cell_angle_gamma 90.00
_symmetry_space_group_name_H-M 'P 4/m m m'
_symmetry_Int_Tables_number 123
_symmetry_space_group_name_Hall '-P 4 2'
loop_
_atom_site_label
_atom_site_type_symbol
_atom_site_fract_x
_atom_site_fract_y
_atom_site_fract_z
Rb1 Rb 0.000 0.500 0.000
Tl1 Tl 0.000 0.000 0.500
Pt1 Pt 0.500 0.500 0.000
Au1 Au 0.500 0.500 0.500
```

---

Entry 3:
Rb2Tl4PtAu3 after structural relaxation. Source: Alexandria, functional PBE.

Computed properties:
Total moment: 0.000 μB/atom
N(E_F): 2.91 states/eV per cell
Electronic total energy: -2.863 eV per atom
Formation energy: -0.136 eV/atom

Geometry as CIF:
```
data_Rb2Tl4PtAu3
_cell_length_a 4.981
_cell_length_b 4.981
_cell_length_c 11.890
_cell_angle_alpha 90.00
_cell_angle_beta 90.00
_cell_angle_gamma 90.00
_symmetry_space_group_name_H-M 'P -4 m 2'
_symmetry_Int_Tables_number 115
loop_
_symmetry_equiv_pos_as_xyz
'x,y,z'
'y,-x,-z'
'-x,-y,z'
'-y,x,-z'
'-x,y,z'
'-y,-x,-z'
'x,-y,z'
'y,x,-z'
loop_
_atom_site_label
_atom_site_type_symbol
_atom_site_fract_x
_atom_site_fract_y
_atom_site_fract_z
Rb1 Rb 0.000 0.500 0.233
Tl1 Tl 0.000 0.000 0.500
Tl2 Tl 0.000 0.500 0.884
Tl3 Tl 0.500 0.500 0.500
Pt1 Pt 0.500 0.500 0.000
Au1 Au 0.000 0.000 0.000
Au2 Au 0.000 0.500 0.640
```

---

Entry 4:
RbTlPt2Au after structural relaxation. Source: Alexandria, functional PBE.

Computed properties:
Total moment: 0.000 μB/atom
N(E_F): 4.83 states/eV per cell
Electronic total energy: -2.844 eV per atom
Formation energy: 0.895 eV/atom

Geometry as CIF:
```
data_RbTlPt2Au
_cell_length_a 5.125
_cell_length_b 5.125
_cell_length_c 6.457
_cell_angle_alpha 90.00
_cell_angle_beta 90.00
_cell_angle_gamma 90.00
_symmetry_space_group_name_H-M 'P 4/m m m'
_symmetry_Int_Tables_number 123
_symmetry_space_group_name_Hall '-P 4 2'
loop_
_atom_site_label
_atom_site_type_symbol
_atom_site_fract_x
_atom_site_fract_y
_atom_site_fract_z
Rb1 Rb 0.000 0.000 0.000
Tl1 Tl 0.000 0.000 0.500
Pt1 Pt 0.000 0.500 0.500
Au1 Au 0.500 0.500 0.000
```

---

Entry 5:
RbPtW2Au after structural relaxation. Source: Alexandria, functional PBE.

Computed properties:
Total moment: 0.000 μB/atom
N(E_F): 5.87 states/eV per cell
Electronic total energy: -3.603 eV per atom
Formation energy: 3.636 eV/atom

Geometry as CIF:
```
data_RbPtW2Au
_cell_length_a 4.691
_cell_length_b 4.691
_cell_length_c 5.099
_cell_angle_alpha 90.00
_cell_angle_beta 90.00
_cell_angle_gamma 90.00
_symmetry_space_group_name_H-M 'P 4/m m m'
_symmetry_Int_Tables_number 123
_symmetry_space_group_name_Hall '-P 4 2'
loop_
_atom_site_label
_atom_site_type_symbol
_atom_site_fract_x
_atom_site_fract_y
_atom_site_fract_z
Rb1 Rb 0.000 0.000 0.000
Pt1 Pt 0.500 0.500 0.500
W1 W 0.000 0.500 0.000
Au1 Au 0.000 0.000 0.500
```

---

Entry 6:
RbZn2PtAu after structural relaxation. Source: Alexandria, functional PBE.

Computed properties:
Total moment: 0.000 μB/atom
N(E_F): 2.40 states/eV per cell
Electronic total energy: -2.775 eV per atom
Formation energy: -0.208 eV/atom

Geometry as CIF:
```
data_RbZn2PtAu
_cell_length_a 4.931
_cell_length_b 4.931
_cell_length_c 5.378
_cell_angle_alpha 90.00
_cell_angle_beta 90.00
_cell_angle_gamma 90.00
_symmetry_space_group_name_H-M 'P 4/m m m'
_symmetry_Int_Tables_number 123
_symmetry_space_group_name_Hall '-P 4 2'
loop_
_atom_site_label
_atom_site_type_symbol
_atom_site_fract_x
_atom_site_fract_y
_atom_site_fract_z
Rb1 Rb 0.000 0.000 0.000
Zn1 Zn 0.000 0.500 0.500
Pt1 Pt 0.500 0.500 0.500
Au1 Au 0.500 0.500 0.000
```

---

Entry 7:
RePt2Au after structural relaxation. Source: Alexandria, functional PBE.

Computed properties:
E above lowest polymorph: 160 meV per atom
Total moment: 0.000 μB/atom
N(E_F): 4.11 states/eV per cell
Electronic total energy: -6.886 eV per atom
Formation energy: 0.066 eV/atom

Geometry as CIF:
```
data_RePt2Au
_cell_length_a 2.823
_cell_length_b 3.937
_cell_length_c 5.722
_cell_angle_alpha 90.00
_cell_angle_beta 90.10
_cell_angle_gamma 90.00
_symmetry_space_group_name_H-M 'P 1 2/m 1'
_symmetry_Int_Tables_number 10
loop_
_symmetry_equiv_pos_as_xyz
'x,y,z'
'-x,-y,-z'
'-x,y,-z'
'x,-y,z'
loop_
_atom_site_label
_atom_site_type_symbol
_atom_site_fract_x
_atom_site_fract_y
_atom_site_fract_z
Re1 Re 0.000 0.000 0.000
Pt1 Pt 0.498 0.500 0.768
Au1 Au 0.000 0.000 0.500
```

---

Entry 8:
RePtAu3 after structural relaxation. Source: Alexandria, functional PBE.

Computed properties:
E above lowest polymorph: 0 meV per atom
Total moment: 1.003 μB/atom
N(E_F): 2.74 states/eV per cell
Electronic total energy: -3.961 eV per atom
Formation energy: 1.703 eV/atom

Geometry as CIF:
```
data_RePtAu3
_cell_length_a 5.038
_cell_length_b 5.038
_cell_length_c 5.038
_cell_angle_alpha 90.00
_cell_angle_beta 90.00
_cell_angle_gamma 90.00
_symmetry_space_group_name_H-M 'P m -3 m'
_symmetry_Int_Tables_number 221
_symmetry_space_group_name_Hall '-P 4 2 3'
loop_
_atom_site_label
_atom_site_type_symbol
_atom_site_fract_x
_atom_site_fract_y
_atom_site_fract_z
Re1 Re 0.000 0.000 0.000
Pt1 Pt 0.500 0.500 0.500
Au1 Au 0.000 0.500 0.500
```